# 1
Computed, not measured: a geometry-optimized SrSm2Ge structure at the PBE-GGA level of DFT.

Formation energy from the elements (kJ/mol of formula units): -109

Geometry as extended XYZ:
```
4
Lattice="2.089 1.206 10.201 -2.089 1.206 10.201 0.000 -2.412 10.201" Properties=species:S:1:pos:R:3 pbc="T T T"
Sr 0.000 0.000 0.000
Sm 0.000 0.000 16.875
Sm 0.000 0.000 23.832
Ge 0.000 0.000 5.041
```

# 2
Computed, not measured: a geometry-optimized TmHgPb structure at the PBE-GGA level of DFT.

Formation energy from the elements (kJ/mol of formula units): -94

Geometry as extended XYZ:
```
12
Lattice="6.764 0.000 0.000 0.000 4.673 0.000 0.000 0.000 9.969" Properties=species:S:1:pos:R:3 pbc="T T T"
Tm 1.186 1.168 0.923
Tm 2.196 3.505 5.907
Tm 4.568 1.168 4.061
Tm 5.578 3.505 9.046
Hg 1.213 1.168 4.149
Hg 2.169 3.505 9.134
Hg 4.595 1.168 0.835
Hg 5.551 3.505 5.819
Pb 0.382 1.168 7.430
Pb 3.000 3.505 2.445
Pb 3.764 1.168 7.523
Pb 6.382 3.505 2.539
```

# 3
Computed, not measured: a geometry-optimized BeSnB2 structure at the PBE-GGA level of DFT.

Formation energy from the elements (kJ/mol of formula units): 50

Geometry as extended XYZ:
```
4
Lattice="2.662 -1.539 0.000 2.662 1.539 0.000 -1.876 0.000 6.019" Properties=species:S:1:pos:R:3 pbc="T T T"
Be 0.000 0.000 0.000
Sn 3.549 0.000 3.401
B 1.772 0.000 0.820
B 3.547 0.000 0.881
```

# 4
Computed, not measured: a geometry-optimized BaCd8InAu2 structure at the PBE-GGA level of DFT.

Formation energy from the elements (kJ/mol of formula units): -180

Geometry as extended XYZ:
```
12
Lattice="3.101 -5.255 0.000 3.101 5.255 0.000 0.000 0.000 9.397" Properties=species:S:1:pos:R:3 pbc="T T T"
Ba 0.000 0.000 0.000
Cd 1.550 2.628 2.429
Cd 1.550 2.628 6.968
Cd 3.101 1.750 0.000
Cd 3.101 1.546 4.698
Cd 1.550 -2.628 2.429
Cd 1.550 -2.628 6.968
Cd 3.101 -1.546 4.698
Cd 3.101 -1.750 0.000
In 0.000 0.000 4.698
Au 3.101 0.000 2.261
Au 3.101 0.000 7.135
```

# 5
Computed, not measured: a geometry-optimized La2TbY5Er structure at the PBE-GGA level of DFT.

Formation energy from the elements (kJ/mol of formula units): 118

Geometry as extended XYZ:
```
18
Lattice="2.836 -10.080 0.000 2.836 10.080 0.000 0.000 0.000 10.683" Properties=species:S:1:pos:R:3 pbc="T T T"
La 2.836 7.790 5.342
La 2.836 7.763 0.912
La 2.836 -7.763 6.253
La 2.836 -7.790 0.000
Tb 2.836 6.099 8.322
Tb 2.836 -6.099 2.981
Y 2.836 9.769 8.414
Y 2.836 4.458 0.846
Y 2.836 4.030 5.024
Y 2.836 2.335 8.418
Y 2.836 0.390 5.401
Y 2.836 -0.390 0.059
Y 2.836 -2.335 3.076
Y 2.836 -4.030 10.366
Y 2.836 -4.458 6.187
Y 2.836 -9.769 3.073
Er 2.836 1.777 2.402
Er 2.836 -1.777 7.744
```

# 6
Computed, not measured: a geometry-optimized Tl4Bi5Pb structure at the PBE-GGA level of DFT.

Formation energy from the elements (kJ/mol of formula units): 3

Geometry as extended XYZ:
```
10
Lattice="3.414 0.000 0.000 0.000 3.414 0.000 0.000 0.000 27.654" Properties=species:S:1:pos:R:3 pbc="T T T"
Tl 0.000 0.000 2.773
Tl 0.000 0.000 8.292
Tl 0.000 0.000 19.362
Tl 0.000 0.000 24.881
Bi 1.707 1.707 0.000
Bi 1.707 1.707 5.496
Bi 1.707 1.707 11.146
Bi 1.707 1.707 16.508
Bi 1.707 1.707 22.159
Pb 0.000 0.000 13.827
```

# 7
Computed, not measured: a geometry-optimized Th2PbN structure at the PBE-GGA level of DFT.

Formation energy without anion corrections (eV/atom): -0.331

Geometry as extended XYZ:
```
4
Lattice="3.313 0.000 0.000 0.000 3.313 0.000 0.000 0.000 8.146" Properties=species:S:1:pos:R:3 pbc="T T T"
Th 0.000 0.000 1.583
Th 0.000 0.000 6.563
Pb 1.657 1.657 4.073
N 1.657 1.657 0.000
```

# 8
Computed, not measured: a geometry-optimized GdYPu structure at the PBE-GGA level of DFT.

Formation energy from the elements (kJ/mol of formula units): 42

Geometry as extended XYZ:
```
3
Lattice="3.530 0.000 0.000 -1.765 3.057 0.000 0.000 0.000 8.598" Properties=species:S:1:pos:R:3 pbc="T T T"
Gd 0.000 0.000 0.000
Y 1.765 1.019 2.953
Pu 0.000 2.038 5.774
```

# 9
Computed, not measured: a geometry-optimized LaHf3Si structure at the PBE-GGA level of DFT.

Formation energy without anion corrections (eV/atom): 0.186

Geometry as extended XYZ:
```
5
Lattice="5.059 0.000 0.000 0.000 5.059 0.000 0.000 0.000 5.059" Properties=species:S:1:pos:R:3 pbc="T T T"
La 0.000 0.000 0.000
Hf 0.000 2.529 2.529
Hf 2.529 0.000 2.529
Hf 2.529 2.529 0.000
Si 2.529 2.529 2.529
```

# 10
Computed, not measured: a geometry-optimized SnTe2Os structure at the PBE-GGA level of DFT.

Formation energy without anion corrections (eV/atom): 0.245

Geometry as extended XYZ:
```
4
Lattice="1.932 1.116 9.250 -1.932 1.116 9.250 0.000 -2.231 9.250" Properties=species:S:1:pos:R:3 pbc="T T T"
Sn 0.000 0.000 0.000
Te 0.000 0.000 3.189
Te 0.000 0.000 24.561
Os 0.000 0.000 13.875
```

# 11
Computed, not measured: a geometry-optimized LiZr2Tl structure at the PBE-GGA level of DFT.

Formation energy from the elements (kJ/mol of formula units): 90

Geometry as extended XYZ:
```
4
Lattice="0.000 3.547 3.547 3.547 0.000 3.547 3.547 3.547 0.000" Properties=species:S:1:pos:R:3 pbc="T T T"
Li 0.000 0.000 0.000
Zr 3.547 3.547 3.547
Zr 5.320 5.320 5.320
Tl 1.773 1.773 1.773
```

# 12
Computed, not measured: a geometry-optimized USbS4 structure at the PBE-GGA level of DFT.

Formation energy without anion corrections (eV/atom): -0.823

Geometry as extended XYZ:
```
6
Lattice="6.564 0.000 0.000 0.000 3.984 0.000 -0.109 0.000 6.896" Properties=species:S:1:pos:R:3 pbc="T T T"
U 0.000 0.000 0.000
Sb -0.055 1.992 3.448
S 1.296 1.992 5.831
S 1.369 0.000 2.194
S 5.085 0.000 4.702
S 5.159 1.992 1.065
```

# 13
Computed, not measured: a geometry-optimized Sr2ZrHg structure at the PBE-GGA level of DFT.

Formation energy from the elements (kJ/mol of formula units): 84

Geometry as extended XYZ:
```
4
Lattice="3.676 0.000 0.000 0.000 4.914 0.000 -0.017 0.000 7.052" Properties=species:S:1:pos:R:3 pbc="T T T"
Sr 3.670 0.000 1.730
Sr -0.011 0.000 5.323
Zr 1.829 2.457 3.526
Hg 1.838 2.457 0.000
```

# 14
Computed, not measured: a geometry-optimized Y4PSe3 structure at the PBE-GGA level of DFT.

Formation energy without anion corrections (eV/atom): -1.799

Geometry as extended XYZ:
```
8
Lattice="4.104 -5.764 0.000 4.104 5.764 0.000 0.000 0.000 4.047" Properties=species:S:1:pos:R:3 pbc="T T T"
Y 1.890 0.000 2.024
Y 4.104 3.024 0.000
Y 4.104 -3.024 0.000
Y 6.318 0.000 2.024
P 0.000 0.000 0.000
Se 2.052 2.882 2.024
Se 2.052 -2.882 2.024
Se 4.104 0.000 0.000
```

# 15
Computed, not measured: a geometry-optimized Ir2AuBr structure at the PBE-GGA level of DFT.

Formation energy without anion corrections (eV/atom): 0.917

Geometry as extended XYZ:
```
4
Lattice="4.455 -1.486 0.000 4.455 1.486 0.000 -1.109 0.000 5.081" Properties=species:S:1:pos:R:3 pbc="T T T"
Ir 1.913 0.000 1.247
Ir 5.888 0.000 3.834
Au -0.554 0.000 2.541
Br 4.455 0.000 0.000
```

# 16
Computed, not measured: a geometry-optimized Tb3Sm5In2 structure at the PBE-GGA level of DFT.

Formation energy from the elements (kJ/mol of formula units): 99

Geometry as extended XYZ:
```
20
Lattice="-6.505 7.782 3.237 6.505 -7.782 3.237 6.505 7.782 -3.237" Properties=species:S:1:pos:R:3 pbc="T T T"
Tb 1.420 3.618 0.000
Tb 0.000 0.000 1.618
Tb 7.925 4.164 0.000
Tb -1.420 3.618 3.237
Tb 0.000 0.000 4.855
Tb 5.085 4.164 3.237
Sm 4.836 2.548 0.000
Sm 3.261 7.782 -1.618
Sm 3.244 0.000 1.618
Sm 6.505 0.000 1.618
Sm 4.836 -2.548 3.237
Sm 1.669 10.329 0.000
Sm 0.000 7.782 1.618
Sm 3.261 7.782 1.618
Sm 3.244 0.000 4.855
Sm 1.669 5.234 3.237
In 4.827 -5.521 3.237
In 4.827 5.521 0.000
In 1.678 2.260 3.237
In 1.678 13.303 0.000
```

# 17
Computed, not measured: a geometry-optimized NpPaZnOs structure at the PBE-GGA level of DFT.

Formation energy from the elements (kJ/mol of formula units): -20

Geometry as extended XYZ:
```
4
Lattice="0.000 3.342 3.342 3.342 0.000 3.342 3.342 3.342 0.000" Properties=species:S:1:pos:R:3 pbc="T T T"
Np 0.000 0.000 0.000
Pa 5.012 5.012 5.012
Zn 1.671 1.671 1.671
Os 3.342 3.342 3.342
```

# 18
Computed, not measured: a geometry-optimized HgPtCl2 structure at the PBE-GGA level of DFT.

Formation energy without anion corrections (eV/atom): 0.251

Geometry as extended XYZ:
```
4
Lattice="3.358 0.000 0.000 0.000 4.155 0.000 0.000 0.000 6.005" Properties=species:S:1:pos:R:3 pbc="T T T"
Hg 0.000 0.000 0.000
Pt 1.679 0.000 3.002
Cl 0.000 2.077 3.002
Cl 1.679 2.077 0.000
```

# 19
Computed, not measured: a geometry-optimized LaAgPS2 structure at the PBE-GGA level of DFT.

Formation energy without anion corrections (eV/atom): 0.238

Geometry as extended XYZ:
```
5
Lattice="5.504 0.000 0.000 0.000 5.504 0.000 0.000 0.000 5.794" Properties=species:S:1:pos:R:3 pbc="T T T"
La 0.000 0.000 0.000
Ag 2.752 2.752 2.897
P 0.000 0.000 2.897
S 0.000 2.752 0.000
S 2.752 0.000 0.000
```

# 20
Computed, not measured: a geometry-optimized Er2AlRh structure at the PBE-GGA level of DFT.

Formation energy from the elements (kJ/mol of formula units): 13

Geometry as extended XYZ:
```
4
Lattice="1.637 0.945 9.837 -1.637 0.945 9.837 0.000 -1.890 9.837" Properties=species:S:1:pos:R:3 pbc="T T T"
Er 0.000 0.000 2.530
Er 0.000 0.000 26.982
Al 0.000 0.000 14.756
Rh 0.000 0.000 0.000
```

# 21
Computed, not measured: a geometry-optimized BaY2S4 structure at the PBE-GGA level of DFT.

Formation energy without anion corrections (eV/atom): -2.119

Geometry as extended XYZ:
```
14
Lattice="2.029 -6.623 0.000 2.029 6.623 0.000 0.000 0.000 13.687" Properties=species:S:1:pos:R:3 pbc="T T T"
Ba 2.029 5.163 10.265
Ba 2.029 -5.163 3.422
Y 2.029 1.784 7.763
Y 2.029 1.784 12.768
Y 2.029 -1.784 0.919
Y 2.029 -1.784 5.925
S 0.000 0.000 0.000
S 0.000 0.000 6.844
S 2.029 3.092 1.506
S 2.029 3.092 5.338
S 2.029 0.857 10.265
S 2.029 -0.857 3.422
S 2.029 -3.092 8.349
S 2.029 -3.092 12.182
```

# 22
Computed, not measured: a geometry-optimized ZnAgW structure at the PBE-GGA level of DFT.

Formation energy from the elements (kJ/mol of formula units): 100

Geometry as extended XYZ:
```
3
Lattice="2.807 0.000 0.000 -1.404 2.431 0.000 0.000 0.000 7.058" Properties=species:S:1:pos:R:3 pbc="T T T"
Zn 0.000 0.000 0.000
Ag 0.000 1.621 2.299
W 1.404 0.810 4.769
```

# 23
Computed, not measured: a geometry-optimized Ho2Ge6Pt structure at the PBE-GGA level of DFT.

Formation energy from the elements (kJ/mol of formula units): -459

Geometry as extended XYZ:
```
9
Lattice="4.091 0.000 0.000 0.000 2.032 10.954 0.000 -2.032 10.954" Properties=species:S:1:pos:R:3 pbc="T T T"
Ho 0.000 0.000 0.000
Ho 0.000 0.000 7.448
Ge 0.000 0.000 13.681
Ge 0.000 0.000 16.197
Ge 2.046 0.000 2.741
Ge 2.046 0.000 5.263
Ge 2.046 0.000 9.791
Ge 2.046 0.000 19.176
Pt 2.046 0.000 12.216
```

# 24
Computed, not measured: a geometry-optimized LaHo5Ru4 structure at the PBE-GGA level of DFT.

Formation energy from the elements (kJ/mol of formula units): -299

Geometry as extended XYZ:
```
10
Lattice="3.396 0.000 0.000 0.000 3.396 0.000 0.000 0.000 19.498" Properties=species:S:1:pos:R:3 pbc="T T T"
La 0.000 0.000 0.000
Ho 1.698 1.698 3.028
Ho 1.698 1.698 6.384
Ho 1.698 1.698 9.749
Ho 1.698 1.698 13.114
Ho 1.698 1.698 16.470
Ru 0.000 0.000 4.590
Ru 0.000 0.000 8.052
Ru 0.000 0.000 11.446
Ru 0.000 0.000 14.907
```

# 25
Computed, not measured: a geometry-optimized ErI3N structure at the PBE-GGA level of DFT.

Formation energy without anion corrections (eV/atom): 0.071

Geometry as extended XYZ:
```
10
Lattice="5.986 -3.829 0.000 5.986 3.829 0.000 -1.927 0.000 9.528" Properties=species:S:1:pos:R:3 pbc="T T T"
Er 5.986 2.129 0.000
Er 5.986 -2.129 0.000
I -0.769 0.000 7.232
I 2.381 0.000 1.178
I 3.510 0.000 7.509
I 6.534 0.000 2.019
I 7.663 0.000 8.351
I 10.814 0.000 2.296
N 1.451 0.000 4.400
N 8.594 0.000 5.128
```